Density functional theory data (GGA-PBE) for an optimized crystal structure of La2YCu.

E_form = -0.07 eV/atom
Symmetry = P4mm (99)

Cell: 3.619 3.619 8.951 Å, 90.00 90.00 89.97°
Sites, in units of the cell vectors:
Y1 0.000 0.000 0.562
Cu1 0.500 0.500 0.734
La1 0.000 0.000 0.946
La2 0.500 0.500 0.258